This record from Alexandria describes a relaxed CuIrRu2 crystal. The functional is PBE-GGA.

Cell lengths 4.2977, 4.2977, 4.2966 Å; angles 59.99, 59.99, 60.00 degrees
With the nearest neighbours (Å) after each atom.
Fractional coordinates of all 4 atoms:
1 Cu 0.7500 0.7500 0.7500  4 Ru 2.63, 4 Ir 2.63
2 Ir 0.5000 0.5000 0.4999  4 Cu 2.63, 4 Ru 2.63
3 Ru 0.0000 0.0000 0.0001  4 Cu 2.63, 4 Ru 2.63
4 Ru 0.2500 0.2500 0.2500  4 Ru 2.63, 4 Ir 2.63

## Properties
ρ, g/cm³: 13.55
Energy of formation from the pure elements, eV per atom: 0.396
Distance to the lowest polymorph of the same formula, eV per atom: 0.267
E_tot, eV/atom: -7.481